VASP calculation (GGA-PBE) on an optimized crystal structure of LiBeP2.

Unit cell a=4.480 b=4.480 c=2.604 alpha=90.00 beta=90.00 gamma=107.59
Atoms (fractional coordinates):
1 P 0.500 0.500 0.000
2 Be 0.500 0.000 0.500
3 Li 0.000 0.500 0.500
4 P 0.000 0.000 0.000

Calculated values
E_form: 126 meV/atom
Energy: -3.9893 eV per atom
Total magnetic moment: 0.000 μB per formula unit